Version 1
{
  "formula": "Be3TlV",
  "functional": "PBE",
  "state": "relaxed",
  "lattice": [[4.4682, 0.0000, 0.0000], [0.0000, 4.4682, 0.0000], [0.0000, 0.0000, 4.4682]],
  "species": ["Be", "Be", "Be", "Tl", "V"],
  "fractional_positions": [[0.0000, 0.5000, 0.0000], [0.0000, 0.0000, 0.5000], [0.5000, 0.0000, 0.0000], [0.0000, 0.0000, 0.0000], [0.5000, 0.5000, 0.5000]],
  "m_tot_mub_per_fu": 3.29,
  "vol_a3_per_cell": 89
}

Version 2
{
  "formula": "Be3TlV",
  "functional": "PBE",
  "state": "relaxed",
  "lattice": [[4.3854, 0.0000, 0.0000], [0.0000, 4.3854, 0.0000], [0.0000, 0.0000, 4.3854]],
  "species": ["Be", "Be", "Be", "Tl", "V"],
  "fractional_positions": [[0.0000, 0.5000, 0.0000], [0.0000, 0.0000, 0.5000], [0.5000, 0.0000, 0.0000], [0.5000, 0.5000, 0.5000], [0.0000, 0.0000, 0.0000]],
  "m_tot_mub_per_fu": 0.45,
  "vol_a3_per_cell": 84
}

Consider the structures shown above. The least stable of them is version 1.